## w
HfTeI2O: relaxed, PBE-GGA.

## Properties
* space group: P4/mmm, No. 123
* calculated volume: 139 Å³ per cell
* ρ: 6.89 g/cm³
* magnetization: 0.00 μB per atom

POSCAR file:
```
HfTeI2O
1.0
-2.421 0.616 -5.361
3.676 -4.113 -2.132
-2.649 -2.820 0.872
I Te Hf O
2 1 1 1
Direct
0.000 0.500 0.000 I
0.500 0.000 0.000 I
0.500 0.500 0.500 Te
0.000 0.000 0.000 Hf
0.000 0.000 0.500 O
```

## x
HfTeI2O: relaxed, PBE-GGA.

## Properties
* space group: P4/mmm, No. 123
* calculated volume: 122 Å³ per cell
* ρ: 7.82 g/cm³
* magnetization: 0.06 μB per atom

POSCAR file:
```
HfTeI2O
1.0
5.320 0.000 0.000
0.000 5.320 0.000
0.000 0.000 4.322
I Te Hf O
2 1 1 1
Direct
0.000 0.500 0.000 I
0.500 0.000 0.000 I
0.000 0.000 0.500 Te
0.500 0.500 0.500 Hf
0.000 0.000 0.000 O
```

## y
HfTeI2O: relaxed, PBE-GGA.

## Properties
* space group: P4/mmm, No. 123
* calculated volume: 181 Å³ per cell
* ρ: 5.28 g/cm³
* magnetization: 0.38 μB per atom

POSCAR file:
```
HfTeI2O
1.0
-3.039 -4.481 -1.835
3.911 -0.994 -4.050
2.766 -3.302 3.481
I Te Hf O
2 1 1 1
Direct
0.000 0.500 0.000 I
0.500 0.000 0.000 I
0.000 0.000 0.500 Te
0.000 0.000 0.000 Hf
0.500 0.500 0.500 O
```

Quick one: least stable of them? x

## w
HfTe2IO: relaxed, PBE-GGA.

## Properties
* space group: P4/mmm, No. 123
* calculated volume: 134 Å³ per cell
* ρ: 7.14 g/cm³
* magnetization: 0.21 μB per atom

POSCAR file:
```
HfTe2IO
1.0
5.831 0.000 0.000
0.000 3.945 0.000
0.000 0.000 5.831
I Te Hf O
1 2 1 1
Direct
0.000 0.000 0.000 I
0.000 0.000 0.500 Te
0.500 0.000 0.000 Te
0.500 0.500 0.500 Hf
0.000 0.500 0.000 O
```

## x
HfTe2IO: relaxed, PBE-GGA.

## Properties
* space group: P4/mmm, No. 123
* calculated volume: 119 Å³ per cell
* ρ: 8.05 g/cm³
* magnetization: 0.07 μB per atom

POSCAR file:
```
HfTe2IO
1.0
4.505 0.000 0.000
0.000 4.505 0.000
0.000 0.000 5.863
I Te Hf O
1 2 1 1
Direct
0.000 0.000 0.500 I
0.000 0.500 0.000 Te
0.500 0.000 0.000 Te
0.500 0.500 0.500 Hf
0.000 0.000 0.000 O
```

## y
HfTe2IO: relaxed, PBE-GGA.

## Properties
* space group: P4/mmm, No. 123
* calculated volume: 170 Å³ per cell
* ρ: 5.62 g/cm³
* magnetization: 0.00 μB per atom

POSCAR file:
```
HfTe2IO
1.0
5.528 0.000 0.000
0.000 5.528 0.000
0.000 0.000 5.575
I Te Hf O
1 2 1 1
Direct
0.000 0.000 0.500 I
0.000 0.500 0.000 Te
0.500 0.000 0.000 Te
0.000 0.000 0.000 Hf
0.500 0.500 0.500 O
```

Quick one: least stable of them? w

## w
HfTiIO2: relaxed, PBE-GGA.

## Properties
* space group: P4/mmm, No. 123
* calculated volume: 100 Å³ per cell
* ρ: 6.37 g/cm³
* magnetization: 0.54 μB per atom

POSCAR file:
```
HfTiIO2
1.0
-2.265 3.349 -0.423
-3.371 -2.271 0.077
-0.259 0.589 6.044
I Hf O Ti
1 1 2 1
Direct
0.000 0.000 0.500 I
0.000 0.000 0.000 Hf
0.000 0.500 0.000 O
0.500 0.000 0.000 O
0.500 0.500 0.500 Ti
```

## x
HfTiIO2: relaxed, PBE-GGA.

## Properties
* space group: P4/mmm, No. 123
* calculated volume: 88 Å³ per cell
* ρ: 7.28 g/cm³
* magnetization: 0.21 μB per atom

POSCAR file:
```
HfTiIO2
1.0
3.960 0.000 0.000
0.000 3.960 0.000
0.000 0.000 5.604
I Hf O Ti
1 1 2 1
Direct
0.000 0.000 0.500 I
0.500 0.500 0.500 Hf
0.000 0.500 0.000 O
0.500 0.000 0.000 O
0.000 0.000 0.000 Ti
```

Quick one: least stable of them? x

## w
HfTlIO2: relaxed, PBE-GGA.

## Properties
* space group: P4/mmm, No. 123
* calculated volume: 110 Å³ per cell
* ρ: 8.20 g/cm³
* magnetization: 0.23 μB per atom

POSCAR file:
```
HfTlIO2
1.0
4.319 0.000 0.000
0.000 4.319 0.000
0.000 0.000 5.877
I Tl Hf O
1 1 1 2
Direct
0.000 0.000 0.500 I
0.000 0.000 0.000 Tl
0.500 0.500 0.500 Hf
0.000 0.500 0.000 O
0.500 0.000 0.000 O
```

## x
HfTlIO2: relaxed, PBE-GGA.

## Properties
* space group: P4/mmm, No. 123
* calculated volume: 108 Å³ per cell
* ρ: 8.34 g/cm³
* magnetization: 0.00 μB per atom

POSCAR file:
```
HfTlIO2
1.0
-3.631 -1.114 1.936
-1.629 -1.208 -3.750
2.128 -5.477 0.840
I Tl Hf O
1 1 1 2
Direct
0.000 0.000 0.500 I
0.500 0.500 0.500 Tl
0.000 0.000 0.000 Hf
0.000 0.500 0.000 O
0.500 0.000 0.000 O
```

Quick one: least stable of them? w